Entry 1:
# CaCu2Rh

An optimized crystal structure of CaCu2Rh (GGA-PBE, Alexandria).

Lattice parameters (Å, degrees): 9.0568 9.0568 9.0568 18.57 18.57 18.57
Fractional coordinates of all 4 atoms:
1 Ca 0.0000 0.0000 0.0000
2 Cu 0.2427 0.2427 0.2427
3 Cu 0.7573 0.7573 0.7573
4 Rh 0.5000 0.5000 0.5000

Output
The calculation puts the formation energy from the elements at 0.470 eV per atom.

Entry 2:
# Pd4PbAu3

An optimized crystal structure of Pd4PbAu3 (GGA-PBE, Alexandria).

Lattice parameters (Å, degrees): 8.1538 8.1538 4.2841 105.14 105.14 30.46
Fractional coordinates of all 8 atoms:
1 Pd 0.1262 0.1262 0.1261
2 Pd 0.3738 0.3738 0.3736
3 Pd 0.6262 0.6262 0.6264
4 Pd 0.8738 0.8738 0.8739
5 Pb 0.0000 0.0000 0.5000
6 Au 0.2515 0.2515 0.7514
7 Au 0.5000 0.5000 0.0000
8 Au 0.7485 0.7485 0.2486

Output
The calculation puts the formation energy from the elements at -0.163 eV per atom.

Entry 3:
# ScTcO4F

An optimized crystal structure of ScTcO4F (GGA-PBE, Alexandria).

Lattice parameters (Å, degrees): 5.5146 5.5146 7.9080 103.13 103.13 74.24
Fractional coordinates of all 14 atoms:
1 Sc 0.1976 0.1976 0.0495
2 Sc 0.8024 0.8024 0.9505
3 Tc 0.3568 0.3568 0.7329
4 Tc 0.6432 0.6432 0.2671
5 O 0.1048 0.4855 0.8715
6 O 0.2372 0.2372 0.5212
7 O 0.4362 0.4362 0.2321
8 O 0.4855 0.1048 0.8715
9 O 0.5145 0.8952 0.1285
10 O 0.5638 0.5638 0.7679
11 O 0.7628 0.7628 0.4788
12 O 0.8952 0.5145 0.1285
13 F 0.0068 0.0068 0.1582
14 F 0.9932 0.9932 0.8418

Output
The value obtained for the formation energy from raw total energies is -2.28 eV per atom.

Entry 4:
# Nd5Sm3Se8

An optimized crystal structure of Nd5Sm3Se8 (GGA-PBE, Alexandria).

Lattice parameters (Å, degrees): 8.4252 8.4252 8.4252 59.94 59.94 59.94
Fractional coordinates of all 16 atoms:
1 Nd 0.0000 0.0000 0.0000
2 Nd 0.0000 0.5000 0.5000
3 Nd 0.5000 0.0000 0.5000
4 Nd 0.5000 0.5000 0.0000
5 Nd 0.5000 0.5000 0.5000
6 Sm 0.0000 0.0000 0.5000
7 Sm 0.0000 0.5000 0.0000
8 Sm 0.5000 0.0000 0.0000
9 Se 0.2463 0.7500 0.7500
10 Se 0.2482 0.2482 0.2482
11 Se 0.2500 0.2500 0.7537
12 Se 0.2500 0.7537 0.2500
13 Se 0.7500 0.2463 0.7500
14 Se 0.7500 0.7500 0.2463
15 Se 0.7518 0.7518 0.7518
16 Se 0.7537 0.2500 0.2500

Output
The value obtained for the formation energy from raw total energies is -1.82 eV per atom.

Entry 5:
# Hf2ZrBPb

An optimized crystal structure of Hf2ZrBPb (GGA-PBE, Alexandria).

Lattice parameters (Å, degrees): 4.6209 4.6209 4.6928 90.00 90.00 90.00
Fractional coordinates of all 5 atoms:
1 Hf 0.0000 0.5000 0.0000
2 Hf 0.5000 0.0000 0.0000
3 Zr 0.0000 0.0000 0.5000
4 B 0.0000 0.0000 0.0000
5 Pb 0.5000 0.5000 0.5000

Output
The calculation puts the formation energy from the elements at -0.295 eV per atom.

Entry 6:
# GaRhI2N

An optimized crystal structure of GaRhI2N (GGA-PBE, Alexandria).

Lattice parameters (Å, degrees): 5.7818 5.7818 3.7351 90.00 90.00 90.00
Fractional coordinates of all 5 atoms:
1 Ga 0.0000 0.0000 0.0000
2 Rh 0.5000 0.5000 0.5000
3 I 0.0000 0.5000 0.5000
4 I 0.5000 0.0000 0.5000
5 N 0.5000 0.5000 0.0000

Output
The value obtained for the formation energy from raw total energies is 0.25 eV per atom.

Entry 7:
# Nd2CdPd3

An optimized crystal structure of Nd2CdPd3 (GGA-PBE, Alexandria).

Lattice parameters (Å, degrees): 6.4243 6.4243 6.4243 136.84 127.85 69.94
Fractional coordinates of all 6 atoms:
1 Nd 0.1830 0.1830 0.0000
2 Nd 0.8170 0.8170 0.0000
3 Cd 0.5000 0.5000 0.0000
4 Pd 0.0000 0.5000 0.5000
5 Pd 0.3670 0.8670 0.5000
6 Pd 0.6330 0.1330 0.5000

Output
The calculation puts the formation energy from the elements at -0.534 eV per atom.

Entry 8:
# Hf4Ga2Ge

An optimized crystal structure of Hf4Ga2Ge (GGA-PBE, Alexandria).

Lattice parameters (Å, degrees): 7.9274 7.9274 7.9274 144.85 144.85 50.57
Fractional coordinates of all 7 atoms:
1 Hf 0.0000 0.5000 0.5000
2 Hf 0.1781 0.1781 0.0000
3 Hf 0.5000 0.0000 0.5000
4 Hf 0.8219 0.8219 0.0000
5 Ga 0.3702 0.3702 0.0000
6 Ga 0.6298 0.6298 0.0000
7 Ge 0.0000 0.0000 0.0000

Output
The calculation puts the formation energy from the elements at 0.288 eV per atom.

Entry 9:
# Ho2ErZn2

An optimized crystal structure of Ho2ErZn2 (GGA-PBE, Alexandria).

Lattice parameters (Å, degrees): 8.0013 8.0013 6.0923 90.00 90.00 141.42
Fractional coordinates of all 10 atoms:
1 Ho 0.0438 0.9562 0.5000
2 Ho 0.2004 0.7996 0.0865
3 Ho 0.7996 0.2004 0.5865
4 Ho 0.9562 0.0438 0.0000
5 Er 0.4179 0.5821 0.3414
6 Er 0.5821 0.4179 0.8414
7 Zn 0.2268 0.7732 0.5948
8 Zn 0.3799 0.6201 0.8290
9 Zn 0.6201 0.3799 0.3290
10 Zn 0.7732 0.2268 0.0948

Output
The calculation puts the formation energy from the elements at -0.200 eV per atom.

Entry 10:
# CaPbCl2O

An optimized crystal structure of CaPbCl2O (GGA-PBE, Alexandria).

Lattice parameters (Å, degrees): 5.0085 5.0085 7.8897 90.00 90.00 90.00
Fractional coordinates of all 5 atoms:
1 Ca 0.0000 0.0000 0.0000
2 Pb 0.0000 0.0000 0.5000
3 Cl 0.0000 0.5000 0.0000
4 Cl 0.5000 0.0000 0.0000
5 O 0.5000 0.5000 0.5000

Output
The value obtained for the formation energy from raw total energies is -0.58 eV per atom.

Entry 11:
# Rb3Pr2NpTe6

An optimized crystal structure of Rb3Pr2NpTe6 (GGA-PBE, Alexandria).

Lattice parameters (Å, degrees): 8.0852 8.0852 8.9573 98.65 98.65 120.02
Fractional coordinates of all 12 atoms:
1 Rb 0.0000 0.0000 0.0000
2 Rb 0.3320 0.6680 0.0000
3 Rb 0.6680 0.3320 0.0000
4 Pr 0.1664 0.8336 0.5000
5 Pr 0.8336 0.1664 0.5000
6 Np 0.5000 0.5000 0.5000
7 Te 0.1031 0.4321 0.2961
8 Te 0.2393 0.2393 0.7046
9 Te 0.4321 0.1031 0.2961
10 Te 0.5679 0.8969 0.7039
11 Te 0.7607 0.7607 0.2954
12 Te 0.8969 0.5679 0.7039

Output
The value obtained for the formation energy from raw total energies is -1.23 eV per atom.

Entry 12:
# Ti5RePd2Rh2

An optimized crystal structure of Ti5RePd2Rh2 (GGA-PBE, Alexandria).

Lattice parameters (Å, degrees): 10.5575 10.5575 2.9894 90.00 90.00 90.00
Fractional coordinates of all 20 atoms:
1 Ti 0.0000 0.5000 0.0000
2 Ti 0.1241 0.1611 0.0000
3 Ti 0.1611 0.8759 0.0000
4 Ti 0.3389 0.3759 0.0000
5 Ti 0.3759 0.6611 0.0000
6 Ti 0.5000 0.0000 0.0000
7 Ti 0.6241 0.3389 0.0000
8 Ti 0.6611 0.6241 0.0000
9 Ti 0.8389 0.1241 0.0000
10 Ti 0.8759 0.8389 0.0000
11 Re 0.0000 0.0000 0.5000
12 Re 0.5000 0.5000 0.5000
13 Pd 0.1552 0.6552 0.5000
14 Pd 0.3448 0.1552 0.5000
15 Pd 0.6552 0.8448 0.5000
16 Pd 0.8448 0.3448 0.5000
17 Rh 0.1402 0.3598 0.5000
18 Rh 0.3598 0.8598 0.5000
19 Rh 0.6402 0.1402 0.5000
20 Rh 0.8598 0.6402 0.5000

Output
The calculation puts the formation energy from the elements at -0.353 eV per atom.

Entry 13:
# Dy2Er5Ni4

An optimized crystal structure of Dy2Er5Ni4 (GGA-PBE, Alexandria).

Lattice parameters (Å, degrees): 11.1912 11.1912 6.9991 101.62 101.62 18.24
Fractional coordinates of all 11 atoms:
1 Dy 0.0658 0.0658 0.1640
2 Dy 0.9342 0.9342 0.8360
3 Er 0.1590 0.1590 0.6216
4 Er 0.2078 0.2078 0.1270
5 Er 0.5000 0.5000 0.5000
6 Er 0.7922 0.7922 0.8730
7 Er 0.8410 0.8410 0.3784
8 Ni 0.0539 0.0539 0.7873
9 Ni 0.3689 0.3689 0.1169
10 Ni 0.6311 0.6311 0.8831
11 Ni 0.9461 0.9461 0.2127

Output
The calculation puts the formation energy from the elements at -0.093 eV per atom.

Entry 14:
# CsAlCd2Ag

An optimized crystal structure of CsAlCd2Ag (GGA-PBE, Alexandria).

Lattice parameters (Å, degrees): 5.5083 5.5083 5.3036 90.00 90.00 90.00
Fractional coordinates of all 5 atoms:
1 Cs 0.0000 0.0000 0.0000
2 Al 0.5000 0.5000 0.5000
3 Cd 0.0000 0.5000 0.5000
4 Cd 0.5000 0.0000 0.5000
5 Ag 0.5000 0.5000 0.0000

Output
The calculation puts the formation energy from the elements at 0.099 eV per atom.

Entry 15:
# TmCuPtO4

An optimized crystal structure of TmCuPtO4 (GGA-PBE, Alexandria).

Lattice parameters (Å, degrees): 6.2886 6.2886 6.2886 119.09 115.67 94.62
Fractional coordinates of all 14 atoms:
1 Tm 0.0000 0.0000 0.0000
2 Tm 0.5000 0.0000 0.5000
3 Cu 0.3563 0.6063 0.7500
4 Cu 0.6437 0.3937 0.2500
5 Pt 0.0000 0.0000 0.5000
6 Pt 0.0000 0.5000 0.0000
7 O 0.1935 0.7372 0.4563
8 O 0.2191 0.2628 0.9563
9 O 0.2459 0.2238 0.4778
10 O 0.2459 0.7681 0.0222
11 O 0.7541 0.2319 0.9778
12 O 0.7541 0.7762 0.5222
13 O 0.7809 0.7372 0.0437
14 O 0.8065 0.2628 0.5437

Output
The value obtained for the formation energy from raw total energies is -1.51 eV per atom.

Entry 16:
# Ag2TeS4

An optimized crystal structure of Ag2TeS4 (GGA-PBE, Alexandria).

Lattice parameters (Å, degrees): 10.3309 10.3309 7.4561 97.81 97.81 142.67
Fractional coordinates of all 14 atoms:
1 Ag 0.0444 0.9556 0.7500
2 Ag 0.2073 0.7927 0.7500
3 Ag 0.7927 0.2073 0.2500
4 Ag 0.9556 0.0444 0.2500
5 Te 0.3762 0.6238 0.2500
6 Te 0.6238 0.3762 0.7500
7 S 0.1342 0.2477 0.0351
8 S 0.2051 0.5865 0.4644
9 S 0.2477 0.1342 0.5351
10 S 0.4135 0.7949 0.0356
11 S 0.5865 0.2051 0.9644
12 S 0.7523 0.8658 0.4649
13 S 0.7949 0.4135 0.5356
14 S 0.8658 0.7523 0.9649

Output
The value obtained for the formation energy from raw total energies is 0.18 eV per atom.

Entry 17:
# Er4ThSc

An optimized crystal structure of Er4ThSc (GGA-PBE, Alexandria).

Lattice parameters (Å, degrees): 6.0852 7.0263 8.6550 101.53 96.72 90.05
Fractional coordinates of all 12 atoms:
1 Er 0.1384 0.4579 0.3323
2 Er 0.2512 0.6288 0.0012
3 Er 0.2515 0.1235 0.0027
4 Er 0.3602 0.2873 0.6632
5 Er 0.6398 0.7127 0.3368
6 Er 0.7485 0.8765 0.9973
7 Er 0.7488 0.3712 0.9988
8 Er 0.8616 0.5421 0.6677
9 Th 0.3522 0.7963 0.6632
10 Th 0.6478 0.2037 0.3368
11 Sc 0.1334 0.9583 0.3354
12 Sc 0.8666 0.0417 0.6646

Output
The calculation puts the formation energy from the elements at 0.032 eV per atom.

Entry 18:
# NbFe2GeH

An optimized crystal structure of NbFe2GeH (GGA-PBE, Alexandria).

Lattice parameters (Å, degrees): 3.7695 3.7695 4.1046 90.00 90.00 90.00
Fractional coordinates of all 5 atoms:
1 Nb 0.0000 0.0000 0.0000
2 Fe 0.0000 0.5000 0.5000
3 Fe 0.5000 0.0000 0.5000
4 Ge 0.5000 0.5000 0.0000
5 H 0.0000 0.0000 0.5000

Entry 19:
# LiScCu2

An optimized crystal structure of LiScCu2 (GGA-PBE, Alexandria).

Lattice parameters (Å, degrees): 3.2084 3.2084 6.1484 90.00 90.00 90.00
Fractional coordinates of all 4 atoms:
1 Li 0.0000 0.0000 0.0000
2 Sc 0.5000 0.5000 0.3478
3 Cu 0.0000 0.0000 0.5944
4 Cu 0.5000 0.5000 0.7992

Output
The calculation puts the formation energy from the elements at -0.035 eV per atom.

Entry 20:
# TiV3Zn

An optimized crystal structure of TiV3Zn (GGA-PBE, Alexandria).

Lattice parameters (Å, degrees): 4.4011 4.4011 4.4011 90.00 90.00 90.00
Fractional coordinates of all 5 atoms:
1 Ti 0.0000 0.0000 0.0000
2 V 0.0000 0.0000 0.5000
3 V 0.0000 0.5000 0.0000
4 V 0.5000 0.0000 0.0000
5 Zn 0.5000 0.5000 0.5000

Output
The calculation puts the formation energy from the elements at 1.219 eV per atom.

Entry 21:
# BeTePb2O

An optimized crystal structure of BeTePb2O (GGA-PBE, Alexandria).

Lattice parameters (Å, degrees): 6.0275 6.0275 3.2210 90.00 90.00 90.00
Fractional coordinates of all 5 atoms:
1 Be 0.0000 0.0000 0.0000
2 Te 0.5000 0.5000 0.0000
3 Pb 0.0000 0.5000 0.5000
4 Pb 0.5000 0.0000 0.5000
5 O 0.0000 0.0000 0.5000

Output
The value obtained for the formation energy from raw total energies is -0.52 eV per atom.

Entry 22:
# Tb4Pr2Te3N2

An optimized crystal structure of Tb4Pr2Te3N2 (GGA-PBE, Alexandria).

Lattice parameters (Å, degrees): 13.4315 13.4315 13.4315 160.12 160.12 28.26
Fractional coordinates of all 11 atoms:
1 Tb 0.0846 0.5846 0.5000
2 Tb 0.4154 0.9154 0.5000
3 Tb 0.5846 0.0846 0.5000
4 Tb 0.9154 0.4154 0.5000
5 Pr 0.1963 0.1963 0.0000
6 Pr 0.8037 0.8037 0.0000
7 Te 0.3256 0.3256 0.0000
8 Te 0.5000 0.5000 0.0000
9 Te 0.6744 0.6744 0.0000
10 N 0.1009 0.1009 0.0000
11 N 0.8991 0.8991 0.0000

Output
The value obtained for the formation energy from raw total energies is -1.20 eV per atom.

Number 1: total DFT energy (no corrections) -15.66 eV/cell. Number 2: total DFT energy (no corrections) -35.62 eV/cell. Number 3: total DFT energy (no corrections) -108.74 eV/cell. Number 4: total DFT energy (no corrections) -95.07 eV/cell. Number 5: total DFT energy (no corrections) -40.31 eV/cell. Number 6: total DFT energy (no corrections) -20.55 eV/cell. Number 7: total DFT energy (no corrections) -29.23 eV/cell. Number 8: total DFT energy (no corrections) -48.47 eV/cell. Number 9: total DFT energy (no corrections) -34.53 eV/cell. Number 10: total DFT energy (no corrections) -17.24 eV/cell. Number 11: total DFT energy (no corrections) -58.98 eV/cell. Number 12: total DFT energy (no corrections) -161.08 eV/cell. Number 13: total DFT energy (no corrections) -56.17 eV/cell. Number 14: total DFT energy (no corrections) -8.78 eV/cell. Number 15: total DFT energy (no corrections) -90.05 eV/cell. Number 16: total DFT energy (no corrections) -48.14 eV/cell. Number 17: total DFT energy (no corrections) -63.62 eV/cell. Number 18: total DFT energy (no corrections) -35.52 eV/cell. Number 19: total DFT energy (no corrections) -16.58 eV/cell. Number 20: total DFT energy (no corrections) -30.43 eV/cell. Number 21: total DFT energy (no corrections) -21.82 eV/cell. Number 22: total DFT energy (no corrections) -67.39 eV/cell.